Compound: SrY3Ir
Source: the Alexandria database
Functional: GGA-PBE
Structure: optimized geometry

Geometry as POSCAR:
```
SrY3Ir
1.0
3.813 2.201 6.678
-3.813 2.201 6.678
0.000 -4.402 6.678
Sr Y Ir
2 6 2
Cartesian
0.000 0.000 1.837 Sr
0.000 0.000 18.198 Sr
-1.893 -1.093 8.412 Y
0.000 -2.186 11.623 Y
-1.893 1.093 11.623 Y
1.893 -1.093 8.412 Y
0.000 2.186 8.412 Y
1.893 1.093 11.623 Y
0.000 0.000 6.656 Ir
0.000 0.000 13.379 Ir
```

Summary:
For the formation energy, the calculation gives -0.248 eV/atom. Its total energy is -6.235 eV per atom.

***

Compound: BaAcPb
Source: the Alexandria database
Functional: GGA-PBE
Structure: optimized geometry

Geometry as POSCAR:
```
BaAcPb
1.0
5.706 0.000 0.000
-2.853 4.942 0.000
0.000 0.000 4.482
Ba Ac Pb
1 1 1
Cartesian
0.000 0.000 0.000 Ba
2.853 1.647 2.498 Ac
0.000 3.294 1.684 Pb
```

Summary:
For the formation energy, the calculation gives -0.256 eV/atom. Its total energy is -3.503 eV per atom.